(1)
First-principles (GGA-PBE) data for an optimized crystal structure of Dy2SiCl3, as listed in the Alexandria database.

a b c (Å): 18.1646 3.9405 12.5118
angles (deg): 90.00 129.80 90.00
Closest atoms and distances in Å follow each position.
Space group C2/m (No. 12)
One atom of each set of equivalent atoms:
Dy1 0.1157 0.0000 0.4409 x4  5 Cl 2.72-3.00, 2 Si 2.80-2.96
Dy2 0.1268 0.5000 0.8247 x4  4 Cl 2.73-2.82, 2 Si 2.82
Si1 0.0618 0.0000 0.6197 x4  1 Si 2.32
Cl1 0.0481 0.5000 0.2390 x4  3 Dy 2.73-2.79
Cl2 0.1777 0.0000 0.0229 x4  3 Dy 2.75-2.82
Cl3 0.2427 0.5000 0.6076 x4  3 Dy 2.72-3.00

Properties
* energy relative to the elements, uncorrected: -1594 meV per atom
* calculated density: 4.4 Mg/m³
* E_tot: -118.92 eV/cell

---

(2)
First-principles (GGA-PBE) data for an optimized crystal structure of La4Sm2Sn3O2, as listed in the Alexandria database.

a b c (Å): 4.8748 4.8748 26.2276
angles (deg): 90.00 90.00 90.00
Closest atoms and distances in Å follow each position.
Space group I4/mmm (No. 139)
One atom of each set of equivalent atoms:
La1 0.0000 0.5000 0.0841 x8  2 O 2.50
Sm1 0.0000 0.0000 0.1966 x4  1 O 2.37
Sn1 0.0000 0.0000 0.3201 x4  5 Sm 3.24-3.47, 4 La 3.50
Sn2 0.0000 0.0000 0.5000 x2  8 La 3.29
O1 0.0000 0.0000 0.1061 x4  1 Sm 2.37, 4 La 2.50

Properties
* energy relative to the elements, uncorrected: -1485 meV per atom
* calculated density: 6.6 Mg/m³
* E_tot: -134.82 eV/cell